[1]
A plane-wave DFT calculation with PBE was carried out for an optimized crystal structure of CeInCl2.

Calculated values
* raw formation energy: -0.879 eV/atom
* symmetry: R-3m, No. 166
* D(E_F): 5.3 states/eV per cell
* volume: 127.05 Å³/cell
* size of the total moment: 1.21 μB/cell

```
data_CeInCl2
_chemical_formula_sum 'Ce1 In1 Cl2'
_cell_length_a 3.7923
_cell_length_b 3.7923
_cell_length_c 10.4337
_cell_angle_alpha 79.53
_cell_angle_beta 79.53
_cell_angle_gamma 60.00
_space_group_name_H-M_alt 'P 1'
_space_group_IT_number 1
_space_group_name_Hall 'P 1'
loop_
_atom_site_label
_atom_site_fract_x
_atom_site_fract_y
_atom_site_fract_z
Cl1 0.0866 0.0866 0.7402
Cl2 0.9134 0.9134 0.2598
Ce1 0.0000 0.0000 0.0000
In1 0.5000 0.5000 0.5000
```


[2]
A plane-wave DFT calculation with PBE was carried out for an optimized crystal structure of CeIn3Cl7.

Calculated values
* raw formation energy: -1.351 eV/atom
* symmetry: Cm, No. 8
* volume: 357.40 Å³/cell
* size of the total moment: 0.00 μB/cell

```
data_CeIn3Cl7
_chemical_formula_sum 'Ce1 In3 Cl7'
_cell_length_a 7.1687
_cell_length_b 7.1687
_cell_length_c 8.8171
_cell_angle_alpha 62.75
_cell_angle_beta 62.75
_cell_angle_gamma 80.78
_space_group_name_H-M_alt 'P 1'
_space_group_IT_number 1
_space_group_name_Hall 'P 1'
loop_
_atom_site_label
_atom_site_fract_x
_atom_site_fract_y
_atom_site_fract_z
Ce1 0.9442 0.9442 0.0436
In1 0.8312 0.2397 0.4810
In2 0.5081 0.5081 0.9309
In3 0.2397 0.8312 0.4810
Cl1 0.1572 0.1572 0.1035
Cl2 0.6177 0.1492 0.2225
Cl3 0.9373 0.3123 0.7510
Cl4 0.1492 0.6177 0.2225
Cl5 0.6326 0.6326 0.3739
Cl6 0.3123 0.9373 0.7510
Cl7 0.7957 0.7957 0.8888
```


[3]
A plane-wave DFT calculation with PBE was carried out for an optimized crystal structure of CeIn2Cl8.

Calculated values
* raw formation energy: -1.317 eV/atom
* symmetry: C2/m, No. 12
* D(E_F): 10.6 states/eV per cell
* volume: 395.40 Å³/cell
* size of the total moment: 1.64 μB/cell

```
data_CeIn2Cl8
_chemical_formula_sum 'Ce1 In2 Cl8'
_cell_length_a 7.1108
_cell_length_b 8.0510
_cell_length_c 8.0510
_cell_angle_alpha 60.94
_cell_angle_beta 80.48
_cell_angle_gamma 80.48
_space_group_name_H-M_alt 'P 1'
_space_group_IT_number 1
_space_group_name_Hall 'P 1'
loop_
_atom_site_label
_atom_site_fract_x
_atom_site_fract_y
_atom_site_fract_z
Ce1 0.0000 0.0000 0.0000
In1 0.6594 0.8021 0.8021
In2 0.3406 0.1979 0.1979
Cl1 0.2092 0.3138 0.8818
Cl2 0.7908 0.1182 0.6862
Cl3 0.2918 0.8341 0.8341
Cl4 0.7082 0.1659 0.1659
Cl5 0.2092 0.8818 0.3138
Cl6 0.7908 0.6862 0.1182
Cl7 0.7697 0.6289 0.6289
Cl8 0.2303 0.3711 0.3711
```


[4]
A plane-wave DFT calculation with PBE was carried out for an optimized crystal structure of CeIn4Cl7.

Calculated values
* raw formation energy: -1.254 eV/atom
* symmetry: C2/m, No. 12
* D(E_F): 7.3 states/eV per cell
* volume: 409.14 Å³/cell
* size of the total moment: 1.00 μB/cell

```
data_CeIn4Cl7
_chemical_formula_sum 'Ce1 In4 Cl7'
_cell_length_a 5.4534
_cell_length_b 7.5366
_cell_length_c 11.2608
_cell_angle_alpha 113.57
_cell_angle_beta 104.01
_cell_angle_gamma 90.00
_space_group_name_H-M_alt 'P 1'
_space_group_IT_number 1
_space_group_name_Hall 'P 1'
loop_
_atom_site_label
_atom_site_fract_x
_atom_site_fract_y
_atom_site_fract_z
Ce1 0.0000 0.0000 0.0000
In1 0.4151 0.4586 0.8303
In2 0.5849 0.5414 0.1697
In3 0.2912 0.8218 0.5823
In4 0.7088 0.1782 0.4177
Cl1 0.1157 0.3434 0.2314
Cl2 0.8843 0.6566 0.7686
Cl3 0.9204 0.2013 0.8408
Cl4 0.0796 0.7987 0.1592
Cl5 0.7211 0.8039 0.4421
Cl6 0.5000 0.0000 0.0000
Cl7 0.2789 0.1961 0.5579
```


[5]
A plane-wave DFT calculation with PBE was carried out for an optimized crystal structure of Ce2InCl8.

Calculated values
* raw formation energy: -1.849 eV/atom
* symmetry: C2/m, No. 12
* D(E_F): 11.2 states/eV per cell
* volume: 294.43 Å³/cell
* size of the total moment: 1.02 μB/cell

```
data_Ce2InCl8
_chemical_formula_sum 'Ce2 In1 Cl8'
_cell_length_a 5.4886
_cell_length_b 7.6631
_cell_length_c 7.6631
_cell_angle_alpha 111.75
_cell_angle_beta 95.82
_cell_angle_gamma 95.82
_space_group_name_H-M_alt 'P 1'
_space_group_IT_number 1
_space_group_name_Hall 'P 1'
loop_
_atom_site_label
_atom_site_fract_x
_atom_site_fract_y
_atom_site_fract_z
Ce1 0.0000 0.3190 0.6810
Ce2 0.0000 0.6810 0.3190
In1 0.5000 0.0000 0.0000
Cl1 0.9221 0.9438 0.6714
Cl2 0.9221 0.6714 0.9438
Cl3 0.2799 0.6015 0.6015
Cl4 0.5000 0.7437 0.2563
Cl5 0.5000 0.2563 0.7437
Cl6 0.7201 0.3985 0.3985
Cl7 0.0779 0.3286 0.0562
Cl8 0.0779 0.0562 0.3286
```


[6]
A plane-wave DFT calculation with PBE was carried out for an optimized crystal structure of CeIn2Cl6.

Calculated values
* offset from the most stable computed form: 0.000 eV/atom
* raw formation energy: -1.485 eV/atom
* symmetry: P4_2/mnm, No. 136
* volume: 652.06 Å³/cell
* size of the total moment: 0.20 μB/cell

```
data_CeIn2Cl6
_chemical_formula_sum 'Ce2 In4 Cl12'
_cell_length_a 6.9633
_cell_length_b 6.9633
_cell_length_c 13.4478
_cell_angle_alpha 90.00
_cell_angle_beta 90.00
_cell_angle_gamma 90.00
_space_group_name_H-M_alt 'P 1'
_space_group_IT_number 1
_space_group_name_Hall 'P 1'
loop_
_atom_site_label
_atom_site_fract_x
_atom_site_fract_y
_atom_site_fract_z
Ce1 0.5000 0.5000 0.0000
Ce2 0.0000 0.0000 0.5000
In1 0.5000 0.5000 0.3336
In2 0.5000 0.5000 0.6664
In3 0.0000 0.0000 0.1664
In4 0.0000 0.0000 0.8336
Cl1 0.6823 0.6823 0.1466
Cl2 0.6823 0.6823 0.8534
Cl3 0.7312 0.7312 0.5000
Cl4 0.7688 0.2312 0.0000
Cl5 0.8177 0.1823 0.3534
Cl6 0.8177 0.1823 0.6466
Cl7 0.1823 0.8177 0.3534
Cl8 0.1823 0.8177 0.6466
Cl9 0.2312 0.7688 0.0000
Cl10 0.2688 0.2688 0.5000
Cl11 0.3177 0.3177 0.1466
Cl12 0.3177 0.3177 0.8534
```


[7]
A plane-wave DFT calculation with PBE was carried out for an optimized crystal structure of KCe2InCl8.

Calculated values
* raw formation energy: -1.925 eV/atom
* symmetry: P2/m, No. 10
* D(E_F): 15.8 states/eV per cell
* volume: 433.18 Å³/cell
* size of the total moment: 2.00 μB/cell

```
data_KCe2InCl8
_chemical_formula_sum 'K1 Ce2 In1 Cl8'
_cell_length_a 7.1697
_cell_length_b 6.8889
_cell_length_c 8.7783
_cell_angle_alpha 90.01
_cell_angle_beta 90.00
_cell_angle_gamma 87.55
_space_group_name_H-M_alt 'P 1'
_space_group_IT_number 1
_space_group_name_Hall 'P 1'
loop_
_atom_site_label
_atom_site_fract_x
_atom_site_fract_y
_atom_site_fract_z
K1 0.0000 0.0000 0.5000
Ce1 0.5000 0.5000 0.7500
Ce2 0.5000 0.5000 0.2500
In1 0.0000 0.0000 0.0000
Cl1 0.1932 0.7422 0.2510
Cl2 0.6426 0.7070 0.0000
Cl3 0.8067 0.2578 0.2510
Cl4 0.8068 0.2578 0.7490
Cl5 0.3574 0.2930 0.0000
Cl6 0.1933 0.7422 0.7490
Cl7 0.6450 0.7066 0.5000
Cl8 0.3550 0.2934 0.5000
```


[8]
A plane-wave DFT calculation with PBE was carried out for an optimized crystal structure of K2CeInCl8.

Calculated values
* raw formation energy: -1.743 eV/atom
* symmetry: P2/m, No. 10
* D(E_F): 8.5 states/eV per cell
* volume: 399.91 Å³/cell
* size of the total moment: 1.01 μB/cell

```
data_K2CeInCl8
_chemical_formula_sum 'K2 Ce1 In1 Cl8'
_cell_length_a 6.9935
_cell_length_b 6.7826
_cell_length_c 8.4421
_cell_angle_alpha 89.98
_cell_angle_beta 90.01
_cell_angle_gamma 92.96
_space_group_name_H-M_alt 'P 1'
_space_group_IT_number 1
_space_group_name_Hall 'P 1'
loop_
_atom_site_label
_atom_site_fract_x
_atom_site_fract_y
_atom_site_fract_z
K1 0.5000 0.4999 0.7592
K2 0.5000 0.5001 0.2408
Ce1 0.0000 0.0000 0.5000
In1 0.0000 0.0000 0.0000
Cl1 0.1334 0.7861 0.2347
Cl2 0.7008 0.7943 0.9999
Cl3 0.8665 0.2139 0.2345
Cl4 0.8666 0.2139 0.7653
Cl5 0.2992 0.2057 0.0001
Cl6 0.1335 0.7861 0.7655
Cl7 0.6781 0.7640 0.5000
Cl8 0.3219 0.2360 0.5000
```